## FeSb (GGA-PBE)

Data for a relaxed FeSb crystal.

- ρ (g/cm3) = 8.12
- total DFT energy (no corrections) (eV/atom) = -5.928
- magnetization (μB per formula unit) = 1.60

CIF file:
```
data_FeSb
_cell_length_a 3.581
_cell_length_b 3.581
_cell_length_c 3.270
_cell_angle_alpha 90.00
_cell_angle_beta 90.00
_cell_angle_gamma 120.00
_symmetry_space_group_name_H-M 'P 1'
_symmetry_Int_Tables_number 1
loop_
_symmetry_equiv_pos_as_xyz
'x,y,z'
loop_
_atom_site_label
_atom_site_fract_x
_atom_site_fract_y
_atom_site_fract_z
_atom_site_occupancy
Sb1 0.333 0.667 0.250 1
Fe1 0.667 0.333 0.750 1
```

---

## Pr2SmCu4Pb4 (GGA-PBE)

Data for a relaxed Pr2SmCu4Pb4 crystal.

- ρ (g/cm3) = 9.80
- total DFT energy (no corrections) (eV/atom) = -4.312
- magnetization (μB per formula unit) = 0.00

CIF file:
```
data_Pr2SmCu4Pb4
_cell_length_a 8.788
_cell_length_b 8.788
_cell_length_c 8.788
_cell_angle_alpha 148.92
_cell_angle_beta 132.37
_cell_angle_gamma 57.97
_symmetry_space_group_name_H-M 'P 1'
_symmetry_Int_Tables_number 1
loop_
_symmetry_equiv_pos_as_xyz
'x,y,z'
loop_
_atom_site_label
_atom_site_fract_x
_atom_site_fract_y
_atom_site_fract_z
_atom_site_occupancy
Cu1 0.352 0.669 0.683 1
Cu2 0.014 0.331 0.683 1
Cu3 0.986 0.669 0.317 1
Cu4 0.648 0.331 0.317 1
Pr1 0.367 0.867 0.500 1
Pr2 0.633 0.133 0.500 1
Sm1 0.000 0.000 0.000 1
Pb1 0.784 0.784 0.000 1
Pb2 0.216 0.216 0.000 1
Pb3 0.291 0.500 0.791 1
Pb4 0.709 0.500 0.209 1
```

---

## RbMgIrW (GGA-PBE)

Data for a relaxed RbMgIrW crystal.

- ρ (g/cm3) = 9.63
- magnetization (μB per formula unit) = 3.43
- ΔE to the lowest computed polymorph (meV/atom) = 623.8

CIF file:
```
data_RbMgIrW
_cell_length_a 4.911
_cell_length_b 4.911
_cell_length_c 4.911
_cell_angle_alpha 60.00
_cell_angle_beta 60.00
_cell_angle_gamma 60.00
_symmetry_space_group_name_H-M 'P 1'
_symmetry_Int_Tables_number 1
loop_
_symmetry_equiv_pos_as_xyz
'x,y,z'
loop_
_atom_site_label
_atom_site_fract_x
_atom_site_fract_y
_atom_site_fract_z
_atom_site_occupancy
Ir1 0.500 0.500 0.500 1
W1 0.000 0.000 0.000 1
Mg1 0.750 0.750 0.750 1
Rb1 0.250 0.250 0.250 1
```

---

## ThGeSe (GGA-PBE)

Data for a relaxed ThGeSe crystal.

- ρ (g/cm3) = 8.76
- total DFT energy (no corrections) (eV/atom) = -6.457
- magnetization (μB per formula unit) = 0.00

CIF file:
```
data_ThGeSe
_cell_length_a 9.249
_cell_length_b 9.249
_cell_length_c 9.249
_cell_angle_alpha 154.59
_cell_angle_beta 154.59
_cell_angle_gamma 36.25
_symmetry_space_group_name_H-M 'P 1'
_symmetry_Int_Tables_number 1
loop_
_symmetry_equiv_pos_as_xyz
'x,y,z'
loop_
_atom_site_label
_atom_site_fract_x
_atom_site_fract_y
_atom_site_fract_z
_atom_site_occupancy
Th1 0.134 0.134 0.000 1
Th2 0.866 0.866 0.000 1
Se1 0.312 0.312 0.000 1
Se2 0.688 0.688 0.000 1
Ge1 0.000 0.500 0.500 1
Ge2 0.500 0.000 0.500 1
```

---

## CoCuS4 (GGA-PBE)

Data for a relaxed CoCuS4 crystal.

- ρ (g/cm3) = 4.66
- magnetization (μB per formula unit) = 0.52
- ΔE to the lowest computed polymorph (meV/atom) = 12.0

CIF file:
```
data_CoCuS4
_cell_length_a 7.923
_cell_length_b 7.961
_cell_length_c 9.785
_cell_angle_alpha 89.64
_cell_angle_beta 89.88
_cell_angle_gamma 60.30
_symmetry_space_group_name_H-M 'P 1'
_symmetry_Int_Tables_number 1
loop_
_symmetry_equiv_pos_as_xyz
'x,y,z'
loop_
_atom_site_label
_atom_site_fract_x
_atom_site_fract_y
_atom_site_fract_z
_atom_site_occupancy
Co1 0.000 0.000 0.000 1
Co2 0.835 0.331 0.329 1
Co3 0.000 0.500 0.000 1
Co4 0.500 0.000 0.000 1
Co5 0.165 0.669 0.671 1
Co6 0.500 0.500 0.000 1
Cu1 0.333 0.337 0.330 1
Cu2 0.664 0.169 0.670 1
Cu3 0.667 0.663 0.670 1
Cu4 0.336 0.831 0.330 1
Cu5 0.835 0.833 0.329 1
Cu6 0.165 0.167 0.671 1
S1 0.431 0.137 0.535 1
S2 0.529 0.731 0.119 1
S3 0.411 0.909 0.808 1
S4 0.837 0.832 0.943 1
S5 0.183 0.421 0.806 1
S6 0.569 0.863 0.465 1
S7 0.471 0.269 0.881 1
S8 0.488 0.505 0.606 1
S9 0.163 0.168 0.057 1
S10 0.861 0.080 0.461 1
S11 0.235 0.531 0.120 1
S12 0.512 0.495 0.394 1
S13 0.094 0.815 0.190 1
S14 0.906 0.185 0.810 1
S15 0.265 0.762 0.871 1
S16 0.849 0.825 0.728 1
S17 0.929 0.425 0.525 1
S18 0.589 0.091 0.192 1
S19 0.735 0.238 0.129 1
S20 0.817 0.579 0.194 1
S21 0.151 0.175 0.272 1
S22 0.139 0.920 0.539 1
S23 0.765 0.469 0.880 1
S24 0.071 0.575 0.475 1
```

---

## HfScFeSi (GGA-PBE)

Data for a relaxed HfScFeSi crystal.

- ρ (g/cm3) = 8.30
- magnetization (μB per formula unit) = 0.62
- ΔE to the lowest computed polymorph (meV/atom) = 0.0

CIF file:
```
data_HfScFeSi
_cell_length_a 4.431
_cell_length_b 4.431
_cell_length_c 4.431
_cell_angle_alpha 60.00
_cell_angle_beta 60.00
_cell_angle_gamma 60.00
_symmetry_space_group_name_H-M 'P 1'
_symmetry_Int_Tables_number 1
loop_
_symmetry_equiv_pos_as_xyz
'x,y,z'
loop_
_atom_site_label
_atom_site_fract_x
_atom_site_fract_y
_atom_site_fract_z
_atom_site_occupancy
Sc1 0.250 0.250 0.250 1
Hf1 0.500 0.500 0.500 1
Fe1 0.750 0.750 0.750 1
Si1 0.000 0.000 0.000 1
```

---

## KCoNiS3 (GGA-PBE)

Data for a relaxed KCoNiS3 crystal.

- ρ (g/cm3) = 3.74
- total DFT energy (no corrections) (eV/atom) = -4.858
- magnetization (μB per formula unit) = 0.86

CIF file:
```
data_KCoNiS3
_cell_length_a 7.325
_cell_length_b 7.325
_cell_length_c 9.175
_cell_angle_alpha 90.00
_cell_angle_beta 90.00
_cell_angle_gamma 152.85
_symmetry_space_group_name_H-M 'P 1'
_symmetry_Int_Tables_number 1
loop_
_symmetry_equiv_pos_as_xyz
'x,y,z'
loop_
_atom_site_label
_atom_site_fract_x
_atom_site_fract_y
_atom_site_fract_z
_atom_site_occupancy
Ni1 0.032 0.968 0.250 1
Ni2 0.968 0.032 0.750 1
Co1 0.500 0.500 0.500 1
Co2 0.500 0.500 0.000 1
S1 0.895 0.105 0.543 1
S2 0.105 0.895 0.457 1
S3 0.438 0.562 0.250 1
S4 0.895 0.105 0.957 1
S5 0.562 0.438 0.750 1
S6 0.105 0.895 0.043 1
K1 0.749 0.251 0.250 1
K2 0.251 0.749 0.750 1
```

---

## Ta3SiB2 (GGA-PBE)

Data for a relaxed Ta3SiB2 crystal.

- ρ (g/cm3) = 11.99
- total DFT energy (no corrections) (eV/atom) = -9.653
- magnetization (μB per formula unit) = 0.00

CIF file:
```
data_Ta3SiB2
_cell_length_a 3.253
_cell_length_b 3.253
_cell_length_c 17.901
_cell_angle_alpha 90.00
_cell_angle_beta 90.00
_cell_angle_gamma 120.00
_symmetry_space_group_name_H-M 'P 1'
_symmetry_Int_Tables_number 1
loop_
_symmetry_equiv_pos_as_xyz
'x,y,z'
loop_
_atom_site_label
_atom_site_fract_x
_atom_site_fract_y
_atom_site_fract_z
_atom_site_occupancy
B1 0.667 0.333 0.925 1
B2 0.333 0.667 0.425 1
B3 0.333 0.667 0.075 1
B4 0.667 0.333 0.575 1
Ta1 0.000 0.000 0.000 1
Ta2 0.333 0.667 0.856 1
Ta3 0.333 0.667 0.644 1
Ta4 0.667 0.333 0.356 1
Ta5 0.000 0.000 0.500 1
Ta6 0.667 0.333 0.144 1
Si1 0.000 0.000 0.750 1
Si2 0.000 0.000 0.250 1
```